MgSiBr2 | meta-GGA SCAN | PBEsol geometry

Cell and atoms, written as POSCAR:
```
MgSiBr2
1.0
3.4557 0.0000 0.0000
0.0000 4.3501 0.0000
0.0000 0.0000 6.0078
Mg Si Br
1 1 2
direct
0.0000 0.0000 0.0000
0.5000 0.0000 0.5000
0.0000 0.5000 0.5000
0.5000 0.5000 0.0000
```

Output
space-group type: Pmmm
total DFT energy (no corrections): -13.558 eV per atom
E_form (uncorrected): -0.08 eV/atom
distance to the lowest polymorph of the same formula: 0.258 eV/atom

---

ScFeBiAs2 | meta-GGA SCAN | PBEsol geometry

Cell and atoms, written as POSCAR:
```
ScFeBiAs2
1.0
4.3772 0.0000 0.0000
0.0000 4.3772 0.0000
0.0000 0.0000 5.6691
Sc Fe Bi As
1 1 1 2
direct
0.0000 0.0000 0.0000
0.5000 0.5000 0.5000
0.5000 0.5000 0.0000
0.0000 0.5000 0.5000
0.5000 0.0000 0.5000
```

Output
space-group type: P4/mmm
energy relative to the elements: 0.172 eV/atom
total DFT energy (no corrections): -30.094 eV per atom

---

Ba2MnHg | meta-GGA SCAN | PBEsol geometry

Cell and atoms, written as POSCAR:
```
Ba2MnHg
1.0
-2.7463 2.7463 3.8781
2.7463 -2.7463 3.8781
2.7463 2.7463 -3.8781
Ba Mn Hg
2 1 1
direct
0.0000 0.0000 0.0000
0.7500 0.2500 0.5000
0.2500 0.7500 0.5000
0.5000 0.5000 0.0000
```

Output
space-group type: I-4m2
energy relative to the elements: -0.054 eV/atom
total DFT energy (no corrections): -41.435 eV per atom
distance to the lowest polymorph of the same formula: 0.152 eV/atom